Material: SrPu2Rh
Method: DFT, PBE
State: relaxed

The space group is P4/mmm (No. 123) and the conventional cell measures 3.538, 3.538 and 9.232 Å, with angles of 90.00, 90.00 and 90.00 degrees. The asymmetric unit holds Sr at (0.000, 0.000, 0.000), Pu at (0.500, 0.500, 0.329) and Rh at (0.000, 0.000, 0.500).

The formation energy comes out at -0.024 eV/atom. The density of states at the Fermi level is 14.90 states/eV/f.u. The value obtained for the volume is 116 Å³/cell. The value obtained for the final energy is -37.79 eV per cell. The value obtained for the magnetization is 11.631 μB/cell.